Record 1
Below is a relaxed Ba2YErSe4 crystal, with properties calculated at the PBE-GGA level.

Unit cell a=7.3938 b=4.2809 c=7.7878 alpha=90.00 beta=108.56 gamma=90.00
Closest atoms and distances in Å follow each position.
Space group P2/m (No. 10)
Asymmetric unit:
Ba  0.0000  0.0000  0.0000 [1 per cell]  6 Se 3.27-3.28
Ba  0.5000  0.5000  0.0000 [1 per cell]  6 Se 3.25-3.26
Y  0.0000  0.5000  0.5000 [1 per cell]  6 Se 2.93
Er  0.5000  0.0000  0.5000 [1 per cell]  6 Se 2.90-2.91
Se  0.2397  0.0000  0.7113 [2 per cell]  1 Er 2.90, 2 Y 2.93
Se  0.2655  0.5000  0.2901 [2 per cell]  2 Er 2.91, 1 Y 2.93, 1 Ba 3.26

**Total magnetic moment**: 0.00 μB/cell
**Energy relative to the elements, uncorrected**: -14.97 eV per formula unit



Record 2
Below is a relaxed BaP2AuS crystal, with properties calculated at the PBE-GGA level.

Unit cell a=6.3230 b=6.3230 c=5.7148 alpha=90.00 beta=90.00 gamma=90.00
Closest atoms and distances in Å follow each position.
Space group P4/mmm (No. 123)
Asymmetric unit:
Ba  0.0000  0.0000  0.0000 [1 per cell]  2 S 2.86, 4 P 3.16
P  0.0000  0.5000  0.0000 [2 per cell]  2 Ba 3.16
Au  0.5000  0.5000  0.5000 [1 per cell]  8 P 4.26, 4 S 4.47
S  0.0000  0.0000  0.5000 [1 per cell]  2 Ba 2.86

**Distance to the lowest polymorph of the same formula**: 139.3 kJ per mole of atoms
**Total magnetic moment**: 3.65 μB/cell
**Energy relative to the elements, uncorrected**: 6.90 eV per formula unit



Record 3
Below is a relaxed K12RbNa2 crystal, with properties calculated at the PBE-GGA level.

Unit cell a=8.2869 b=8.2869 c=33.2753 alpha=90.00 beta=90.00 gamma=90.00
Closest atoms and distances in Å follow each position.
Space group P4/nbm (No. 125, origin choice 2)
Asymmetric unit:
K  0.0007  0.5007  0.1152 [8 per cell]  6 K 4.14-4.42
K  0.0691  0.5691  0.4389 [8 per cell]  8 K 4.24-4.61
K  0.2500  0.2500  0.2148 [4 per cell]  5 K 3.99-4.42, 4 Na 4.23
K  0.2500  0.2500  0.3348 [4 per cell]  1 K 3.99
Rb  0.2500  0.7500  0.0000 [2 per cell]  8 K 4.82-4.83
Na  0.2500  0.7500  0.2402 [4 per cell]  4 K 4.23

**Total magnetic moment**: 0.00 μB/cell
**Formation energy**: 2.38 kcal/mol of atoms



Record 4
Below is a relaxed Sr2ScPaAs4 crystal, with properties calculated at the PBE-GGA level.

Unit cell a=7.1823 b=4.2328 c=7.4890 alpha=90.00 beta=108.91 gamma=90.00
Closest atoms and distances in Å follow each position.
Space group P2/m (No. 10)
Asymmetric unit:
Sr  0.0000  0.0000  0.0000 [1 per cell]  6 As 3.15
Sr  0.5000  0.5000  0.0000 [1 per cell]  6 As 3.15-3.17
Sc  0.0000  0.5000  0.5000 [1 per cell]  6 As 2.83-2.85
Pa  0.5000  0.0000  0.5000 [1 per cell]  6 As 2.83-2.87
As  0.2372  0.0000  0.7116 [2 per cell]  1 Pa 2.83, 2 Sc 2.85, 1 Sr 3.15
As  0.2596  0.5000  0.2856 [2 per cell]  1 Sc 2.83, 2 Pa 2.87, 3 Sr 3.15

**Total magnetic moment**: 0.00 μB/cell
**Formation energy**: -27.98 kcal/mol of atoms



Please write out number 2 again, unchanged.
Below is a relaxed BaP2AuS crystal, with properties calculated at the PBE-GGA level.

Unit cell a=6.3230 b=6.3230 c=5.7148 alpha=90.00 beta=90.00 gamma=90.00
Closest atoms and distances in Å follow each position.
Space group P4/mmm (No. 123)
Asymmetric unit:
Ba  0.0000  0.0000  0.0000 [1 per cell]  2 S 2.86, 4 P 3.16
P  0.0000  0.5000  0.0000 [2 per cell]  2 Ba 3.16
Au  0.5000  0.5000  0.5000 [1 per cell]  8 P 4.26, 4 S 4.47
S  0.0000  0.0000  0.5000 [1 per cell]  2 Ba 2.86

**Distance to the lowest polymorph of the same formula**: 139.3 kJ per mole of atoms
**Total magnetic moment**: 3.65 μB/cell
**Energy relative to the elements, uncorrected**: 6.90 eV per formula unit



Which formula does entry 2 have?
BaP2AuS



The highest total magnetic moment belongs to which entry?
BaP2AuS